The following is a DFT calculation (SCAN) of YSc2Tc at its PBEsol-relaxed geometry.

## Properties
- DOS at the Fermi energy (states/eV/atom) = 1.135
- space-group type = No. 123
- ΔE_f (meV per atom) = -127
- uncorrected energy (eV/atom) = -22.97

a b c (Å): 3.2535 3.2535 8.2635
angles (deg): 90.00 90.00 90.08
With the nearest neighbours (Å) after each atom.
Fractional positions:
1 Y 0.5000 0.5000 0.0000  4 Y 3.25, 8 Sc 3.49
2 Sc 0.0000 0.0000 0.3182  4 Tc 2.75, 1 Sc 3.00
3 Sc 0.0000 0.0000 0.6818  4 Tc 2.75, 1 Sc 3.00
4 Tc 0.5000 0.5000 0.5000  8 Sc 2.75



The following is a DFT calculation (SCAN) of ScZnTc2 at its PBEsol-relaxed geometry.

## Properties
- DOS at the Fermi energy (states/eV/atom) = 0.659
- space-group type = No. 44
- ΔE_f (meV per atom) = -113
- uncorrected energy (eV/atom) = -24.58

a b c (Å): 3.1795 4.3789 5.1512
angles (deg): 115.16 107.98 90.00
With the nearest neighbours (Å) after each atom.
Fractional positions:
1 Sc 0.7394 0.2394 0.4787  6 Tc 2.72-2.76, 4 Zn 2.87-2.96
2 Tc 0.9824 0.9824 0.9648  2 Tc 2.48, 4 Zn 2.72, 2 Sc 2.76
3 Tc 0.2656 0.7657 0.5312  2 Tc 2.48, 4 Sc 2.72, 2 Zn 2.73
4 Zn 0.5126 0.5125 0.0252  6 Tc 2.72-2.73, 4 Sc 2.87-2.96



The following is a DFT calculation (SCAN) of ScZnTc2 at its PBEsol-relaxed geometry.

## Properties
- DOS at the Fermi energy (states/eV/atom) = 0.857
- space-group type = No. 65
- ΔE_f (meV per atom) = 116
- uncorrected energy (eV/atom) = -24.35

a b c (Å): 2.5903 5.0459 5.0459
angles (deg): 114.32 90.00 90.00
With the nearest neighbours (Å) after each atom.
Fractional positions:
1 Sc 0.5000 0.5000 0.5000  2 Sc 2.59, 2 Zn 2.74, 8 Tc 2.84
2 Tc 0.0000 0.5000 0.0000  4 Tc 2.59-2.74, 4 Sc 2.84, 4 Zn 2.84
3 Tc 0.0000 0.0000 0.5000  4 Tc 2.59-2.74, 4 Zn 2.84, 4 Sc 2.84
4 Zn 0.5000 0.0000 0.0000  2 Zn 2.59, 2 Sc 2.74, 8 Tc 2.84



The following is a DFT calculation (SCAN) of ScZnTc2 at its PBEsol-relaxed geometry.

## Properties
- DOS at the Fermi energy (states/eV/atom) = 0.756
- space-group type = No. 216
- ΔE_f (meV per atom) = -197
- uncorrected energy (eV/atom) = -24.67

a b c (Å): 4.3853 4.3853 4.3853
angles (deg): 60.00 60.00 60.00
With the nearest neighbours (Å) after each atom.
Fractional positions:
1 Sc 0.2500 0.2500 0.2500  4 Tc 2.69, 4 Zn 2.69
2 Tc 0.0000 0.0000 0.0000  4 Tc 2.69, 4 Sc 2.69
3 Tc 0.7500 0.7500 0.7500  4 Tc 2.69, 4 Zn 2.69
4 Zn 0.5000 0.5000 0.5000  4 Tc 2.69, 4 Sc 2.69



The following is a DFT calculation (SCAN) of ScZnTc2 at its PBEsol-relaxed geometry.

## Properties
- DOS at the Fermi energy (states/eV/atom) = 0.763
- space-group type = No. 6
- ΔE_f (meV per atom) = -118
- uncorrected energy (eV/atom) = -24.59

a b c (Å): 2.8628 4.2660 5.1261
angles (deg): 90.00 102.55 90.00
With the nearest neighbours (Å) after each atom.
Fractional positions:
1 Sc 0.2364 0.5000 0.7269  2 Tc 2.52-2.79, 4 Zn 2.76-2.80
2 Tc 0.9670 0.0000 0.0465  2 Tc 2.53, 3 Zn 2.69-2.75
3 Tc 0.6556 0.5000 0.2134  2 Sc 2.52-2.79, 2 Tc 2.53, 2 Zn 2.64
4 Zn 0.6410 0.0000 0.5133  5 Tc 2.64-2.75, 4 Sc 2.76-2.80, 2 Zn 2.86



The following is a DFT calculation (SCAN) of ScZnTc2 at its PBEsol-relaxed geometry.

## Properties
- DOS at the Fermi energy (states/eV/atom) = 0.563
- space-group type = No. 99
- ΔE_f (meV per atom) = -243
- uncorrected energy (eV/atom) = -24.71

a b c (Å): 3.0411 3.0411 6.6939
angles (deg): 90.00 90.00 90.00
With the nearest neighbours (Å) after each atom.
Fractional positions:
1 Sc 0.5000 0.5000 0.7571  4 Tc 2.82, 4 Zn 2.86, 4 Sc 3.04
2 Zn 0.0000 0.0000 0.4744  5 Tc 2.67-2.98, 4 Sc 2.86
3 Tc 0.0000 0.0000 0.0294  4 Tc 2.57, 4 Sc 2.82
4 Tc 0.5000 0.5000 0.2390  4 Tc 2.57, 4 Zn 2.67



The following is a DFT calculation (SCAN) of ScZn3Tc at its PBEsol-relaxed geometry.

## Properties
- DOS at the Fermi energy (states/eV/atom) = 0.691
- space-group type = No. 221
- ΔE_f (meV per atom) = 1523
- uncorrected energy (eV/atom) = -16.45

a b c (Å): 4.7924 4.7924 4.7924
angles (deg): 90.00 90.00 90.00
With the nearest neighbours (Å) after each atom.
Fractional positions:
1 Sc 0.0000 0.0000 0.0000  6 Zn 2.40
2 Zn 0.0000 0.5000 0.0000  2 Sc 2.40
3 Zn 0.0000 0.0000 0.5000  2 Sc 2.40
4 Zn 0.5000 0.0000 0.0000  2 Sc 2.40
5 Tc 0.5000 0.5000 0.5000  12 Zn 3.39



The following is a DFT calculation (SCAN) of ScZn4Tc at its PBEsol-relaxed geometry.

## Properties
- DOS at the Fermi energy (states/eV/atom) = 0.828
- space-group type = No. 216
- ΔE_f (meV per atom) = -274
- uncorrected energy (eV/atom) = -17.50

a b c (Å): 4.9448 4.9448 4.9448
angles (deg): 60.00 60.00 60.00
With the nearest neighbours (Å) after each atom.
Fractional positions:
1 Sc 0.7500 0.7500 0.7500  12 Zn 2.90, 4 Tc 3.03
2 Zn 0.3742 0.3742 0.3742  6 Zn 2.46-2.49
3 Zn 0.3742 0.3742 0.8775  6 Zn 2.46-2.49
4 Zn 0.8775 0.3742 0.3742  6 Zn 2.46-2.49
5 Zn 0.3742 0.8775 0.3742  6 Zn 2.46-2.49
6 Tc 0.0000 0.0000 0.0000  12 Zn 2.90, 4 Sc 3.03